Compound: ThInW
Source: OQMD via LeMat-Bulk
Functional: GGA-PBE
Structure: optimized geometry

Properties
SG = F-43m
M_tot = 0.05 μB per formula unit
raw total energy = -21.1 eV for the cell shown

Unit cell a=4.807 b=4.807 c=4.807 alpha=60.00 beta=60.00 gamma=60.00
Atoms (fractional coordinates):
Th  0.000  0.000  0.000
In  0.500  0.500  0.500
W  0.750  0.750  0.750